The following is a DFT calculation (PBE) of ReAg2P after structural relaxation.

Calculated values
Its space group is Cm. For the raw total energy, the calculation gives -0.2040 Ha/atom. As for the crystal system: monoclinic. Its formation energy is 0.3395 eV per atom.

abc: 4.535 4.535 5.737
angles: 68.34 68.34 38.53
Sites, in units of the cell vectors:
Ag1 0.007 0.007 0.005
Re1 0.783 0.783 0.628
Ag2 0.217 0.217 0.245
P1 0.493 0.493 0.623



The following is a DFT calculation (PBE) of Re2AgP after structural relaxation.

Calculated values
Its space group is F-43m. For the raw total energy, the calculation gives -0.2765 Ha/atom. As for the crystal system: cubic. Its formation energy is 0.7660 eV per atom.

abc: 4.430 4.430 4.430
angles: 60.00 60.00 60.00
Sites, in units of the cell vectors:
Re1 0.000 0.000 0.000
P1 0.250 0.250 0.250
Re2 0.750 0.750 0.750
Ag1 0.500 0.500 0.500



The following is a DFT calculation (PBE) of Re2AgP after structural relaxation.

Calculated values
Its space group is Cm. For the raw total energy, the calculation gives -0.2865 Ha/atom. As for the crystal system: monoclinic. Its formation energy is 0.4938 eV per atom.

abc: 4.716 4.716 4.979
angles: 87.99 87.99 36.06
Sites, in units of the cell vectors:
Re1 0.010 0.010 0.002
Ag1 0.474 0.474 0.509
P1 0.276 0.276 0.173
Re2 0.740 0.740 0.816



The following is a DFT calculation (PBE) of ReAg2P after structural relaxation.

Calculated values
Its space group is P4mm. For the raw total energy, the calculation gives -0.2098 Ha/atom. As for the crystal system: tetragonal. Its formation energy is 0.1817 eV per atom.

abc: 3.036 3.036 7.058
angles: 90.00 90.00 90.00
Sites, in units of the cell vectors:
Ag1 0.000 0.000 0.987
P1 0.000 0.000 0.546
Re1 0.500 0.500 0.699
Ag2 0.500 0.500 0.267